(1)
# HfFe2Co

A geometry-optimized HfFe2Co structure (PBE, Alexandria).

Properties
Space-group type ... Pmma
ΔH_f (0 K) ... 658.8 meV/atom
Size of the total moment ... 12.0 μB/cell
N(E_F) ... 24.75 states/eV/cell

Unit cell a=4.0603 b=4.0585 c=15.9200 alpha=90.00 beta=90.00 gamma=90.00
Last column: nearest neighbours and their distance in Å.
Element x y z (fractional)
Hf  0.2500  0.0000  0.1253  4 Co 2.87, 8 Fe 3.02
Hf  0.2500  0.5000  0.3751  4 Co 2.87, 8 Fe 3.02
Hf  0.7500  0.0000  0.8747  4 Co 2.87, 8 Fe 3.02
Hf  0.7500  0.5000  0.6249  4 Co 2.87, 8 Fe 3.02
Fe  0.0000  0.0000  0.5000  2 Fe 2.03, 2 Co 2.23
Fe  0.0000  0.5000  0.0000  2 Fe 2.03, 2 Co 2.23
Fe  0.2500  0.2500  0.7499  2 Fe 2.03, 2 Co 2.23
Fe  0.2500  0.7500  0.7499  2 Fe 2.03, 2 Co 2.23
Fe  0.5000  0.0000  0.5000  2 Fe 2.03, 2 Co 2.23
Fe  0.5000  0.5000  0.0000  2 Fe 2.03, 2 Co 2.23
Fe  0.7500  0.2500  0.2501  2 Fe 2.03, 2 Co 2.23
Fe  0.7500  0.7500  0.2501  2 Fe 2.03, 2 Co 2.23
Co  0.2500  0.0000  0.6249  4 Fe 2.23
Co  0.2500  0.5000  0.8750  4 Fe 2.23
Co  0.7500  0.0000  0.3751  4 Fe 2.23
Co  0.7500  0.5000  0.1250  4 Fe 2.23

(2)
# NpTlBr5

A geometry-optimized NpTlBr5 structure (PBE, Alexandria).

Properties
Space-group type ... C2/c
Formation energy without anion corrections ... -1115 meV per atom
Size of the total moment ... 6.0 μB/cell
N(E_F) ... 10.33 states/eV/cell

Unit cell a=7.8075 b=7.8075 c=11.1365 alpha=109.32 beta=109.32 gamma=69.86
Last column: nearest neighbours and their distance in Å.
Element x y z (fractional)
Np  0.0000  0.0000  0.0000  6 Br 2.71-2.88
Np  0.0000  0.0000  0.5000  6 Br 2.71-2.88
Tl  0.4702  0.5298  0.7500  5 Br 3.31-3.49
Tl  0.5298  0.4702  0.2500  5 Br 3.31-3.49
Br  0.0802  0.9198  0.7500  2 Np 2.88
Br  0.1167  0.3179  0.6227  1 Np 2.71
Br  0.2103  0.6363  0.0048  1 Np 2.76
Br  0.3179  0.1167  0.1227  1 Np 2.71
Br  0.3637  0.7897  0.4952  1 Np 2.76
Br  0.6363  0.2103  0.5048  1 Np 2.76
Br  0.6821  0.8833  0.8773  1 Np 2.71
Br  0.7897  0.3637  0.9952  1 Np 2.76
Br  0.8833  0.6821  0.3773  1 Np 2.71
Br  0.9198  0.0802  0.2500  2 Np 2.88

(3)
# YAs12Ru4

A geometry-optimized YAs12Ru4 structure (PBE, Alexandria).

Properties
Space-group type ... Im-3
ΔH_f (0 K) ... -427.5 meV/atom
Size of the total moment ... 0.0 μB/cell
N(E_F) ... 7.89 states/eV/cell

Unit cell a=7.4360 b=7.4360 c=7.4360 alpha=109.47 beta=109.47 gamma=109.47
Last column: nearest neighbours and their distance in Å.
Element x y z (fractional)
Y  0.0000  0.0000  0.0000  12 As 3.26
As  0.1494  0.3485  0.4978  2 Ru 2.46, 2 As 2.57-2.60
As  0.1494  0.6515  0.8009  2 Ru 2.46, 2 As 2.57-2.60
As  0.1991  0.8506  0.3485  2 Ru 2.46, 2 As 2.57-2.60
As  0.3485  0.1991  0.8506  2 Ru 2.46, 2 As 2.57-2.60
As  0.3485  0.4978  0.1494  2 Ru 2.46, 2 As 2.57-2.60
As  0.4978  0.1494  0.3485  2 Ru 2.46, 2 As 2.57-2.60
As  0.5022  0.8506  0.6515  2 Ru 2.46, 2 As 2.57-2.60
As  0.6515  0.5022  0.8506  2 Ru 2.46, 2 As 2.57-2.60
As  0.6515  0.8009  0.1494  2 Ru 2.46, 2 As 2.57-2.60
As  0.8009  0.1494  0.6515  2 Ru 2.46, 2 As 2.57-2.60
As  0.8506  0.3485  0.1991  2 Ru 2.46, 2 As 2.57-2.60
As  0.8506  0.6515  0.5022  2 Ru 2.46, 2 As 2.57-2.60
Ru  0.0000  0.0000  0.5000  6 As 2.46
Ru  0.0000  0.5000  0.0000  6 As 2.46
Ru  0.5000  0.0000  0.0000  6 As 2.46
Ru  0.5000  0.5000  0.5000  6 As 2.46